Compound: TmAlRu
Source: the Alexandria database
Functional: PBE-GGA
Structure: optimized geometry

## Properties
Energy relative to the elements = -608 meV per atom
Total energy = -6.44 eV/atom
Space-group type = Imma, No. 74
Mass density = 9.09 g/cm3

POSCAR file:
```
TmAlRu
1.0
4.633 0.247 -2.494
-2.942 4.352 -0.388
0.083 -0.247 5.261
Tm Ru Al
2 2 2
Cartesian
0.911 0.321 3.850
0.863 4.031 -1.471
-1.429 2.053 2.436
2.358 0.000 1.384
-1.471 2.176 -0.194
0.887 2.176 1.189
```

***

Compound: TmAl2Ru
Source: the Alexandria database
Functional: PBE-GGA
Structure: optimized geometry

## Properties
Energy relative to the elements = -495 meV per atom
Total energy = -5.80 eV/atom
Space-group type = R-3m, No. 166
Mass density = 7.05 g/cm3

POSCAR file:
```
TmAl2Ru
1.0
4.229 0.000 0.000
2.115 3.663 0.000
2.115 1.221 4.924
Ru Al Tm
1 2 1
Cartesian
4.229 2.442 2.462
2.115 1.221 1.837
6.344 3.663 3.087
0.000 0.000 0.000
```

***

Compound: Tm6AlRu5
Source: the Alexandria database
Functional: PBE-GGA
Structure: optimized geometry

## Properties
Energy relative to the elements = -460 meV per atom
Total energy = -6.87 eV/atom
Space-group type = P2/m, No. 10
Mass density = 11.04 g/cm3

POSCAR file:
```
Tm6AlRu5
1.0
-1.255 -0.122 -4.596
3.998 -5.443 -0.947
-4.853 -4.247 3.920
Ru Tm Al
5 6 1
Cartesian
1.999 -2.721 -0.474
0.278 -8.366 0.149
-1.654 -5.593 0.607
-0.456 -4.219 -2.230
-2.388 -1.446 -1.772
-1.245 -6.950 -1.940
-3.211 -4.274 -1.474
1.101 -5.538 -0.149
2.316 -4.068 -2.995
-4.426 -5.744 1.372
-0.864 -2.862 0.316
0.000 0.000 0.000
```

***

Compound: TmAl3Ru
Source: the Alexandria database
Functional: PBE-GGA
Structure: optimized geometry

## Properties
Energy relative to the elements = -607 meV per atom
Total energy = -5.60 eV/atom
Space-group type = Pm-3m, No. 221
Mass density = 6.70 g/cm3

POSCAR file:
```
TmAl3Ru
1.0
6.390 0.000 0.000
0.000 6.390 0.000
0.000 0.000 6.390
Al Tm Ru
9 3 3
Cartesian
1.353 5.037 1.353
3.195 3.195 3.195
5.037 1.353 5.037
1.353 5.037 5.037
1.353 1.353 5.037
5.037 5.037 1.353
5.037 1.353 1.353
5.037 5.037 5.037
1.353 1.353 1.353
3.195 0.000 3.195
3.195 3.195 0.000
0.000 3.195 3.195
3.195 0.000 0.000
0.000 0.000 3.195
0.000 3.195 0.000
```

***

Compound: Tm4AlRu
Source: the Alexandria database
Functional: PBE-GGA
Structure: optimized geometry

## Properties
Distance to the lowest polymorph of the same formula = 0.000 eV/atom
Energy relative to the elements = -397 meV per atom
Total energy = -5.55 eV/atom
Space-group type = F-43m, No. 216
Mass density = 9.14 g/cm3

POSCAR file:
```
Tm4AlRu
1.0
-1.665 9.037 -1.889
-4.859 5.244 6.075
4.338 6.700 4.931
Tm Ru Al
16 4 4
Cartesian
2.280 8.136 4.790
-4.466 12.844 4.327
-1.449 9.588 0.555
0.878 11.077 5.629
-0.179 17.771 6.249
1.245 13.748 3.617
-0.873 8.373 3.638
0.468 14.265 6.982
-2.834 10.490 6.091
-1.545 12.021 2.876
-3.432 7.232 5.500
-0.738 11.393 8.562
-3.747 17.206 6.693
-1.862 15.172 4.336
-1.418 16.299 9.339
-3.101 13.700 7.426
-1.333 12.795 5.560
-0.602 8.824 6.390
-3.240 9.851 3.393
0.802 10.491 2.890
-0.892 6.416 0.992
0.962 5.694 3.098
-0.378 3.626 1.575
-1.878 5.245 3.451
```

***

Compound: TmAl2Ru
Source: the Alexandria database
Functional: PBE-GGA
Structure: optimized geometry

## Properties
Energy relative to the elements = -530 meV per atom
Total energy = -5.84 eV/atom
Space-group type = P4/mmm, No. 123
Mass density = 7.65 g/cm3

POSCAR file:
```
TmAl2Ru
1.0
3.126 0.000 0.000
0.000 3.126 0.000
0.000 0.000 7.191
Ru Al Tm
1 2 1
Cartesian
1.563 1.563 0.000
0.000 0.000 1.364
0.000 0.000 5.827
1.563 1.563 3.596
```